(1)
CaCd2Hg: relaxed, PBE.

Cell and atoms, written as CIF:
```
data_CaCd2Hg
_symmetry_space_group_name_H-M 'P 1 2/m 1'
_symmetry_Int_Tables_number 10
_symmetry_space_group_name_Hall '-P 2y'
_cell_length_a 3.518
_cell_length_b 5.116
_cell_length_c 5.835
_cell_angle_alpha 90.00
_cell_angle_beta 90.75
_cell_angle_gamma 90.00
loop_
_atom_site_label
_atom_site_type_symbol
_atom_site_fract_x
_atom_site_fract_y
_atom_site_fract_z
Ca1 Ca 0.000 0.000 0.000
Cd1 Cd 0.491 0.500 0.753
Hg1 Hg 0.500 0.000 0.500
```

## Properties
calculated formation energy = -252 meV per atom

***

(2)
La4Pm8Y: relaxed, PBE.

Cell and atoms, written as CIF:
```
data_La4Pm8Y
_symmetry_space_group_name_H-M 'P -1'
_symmetry_Int_Tables_number 2
_symmetry_space_group_name_Hall '-P 1'
_cell_length_a 6.654
_cell_length_b 6.678
_cell_length_c 11.894
_cell_angle_alpha 100.73
_cell_angle_beta 100.54
_cell_angle_gamma 109.67
loop_
_atom_site_label
_atom_site_type_symbol
_atom_site_fract_x
_atom_site_fract_y
_atom_site_fract_z
La1 La 0.000 0.000 0.000
La2 La 0.000 0.500 0.500
La3 La 0.500 0.000 0.500
La4 La 0.500 0.500 0.000
Pm1 Pm 0.079 0.107 0.679
Pm2 Pm 0.184 0.686 0.797
Pm3 Pm 0.383 0.882 0.204
Pm4 Pm 0.395 0.421 0.321
Y1 Y 0.000 0.500 0.000
```

## Properties
calculated formation energy = 190 meV per atom

***

(3)
BeTeIr3: relaxed, PBE.

Cell and atoms, written as CIF:
```
data_BeTeIr3
_symmetry_space_group_name_H-M 'P m -3 m'
_symmetry_Int_Tables_number 221
_symmetry_space_group_name_Hall '-P 4 2 3'
_cell_length_a 4.275
_cell_length_b 4.275
_cell_length_c 4.275
_cell_angle_alpha 90.00
_cell_angle_beta 90.00
_cell_angle_gamma 90.00
loop_
_atom_site_label
_atom_site_type_symbol
_atom_site_fract_x
_atom_site_fract_y
_atom_site_fract_z
Be1 Be 0.000 0.000 0.000
Te1 Te 0.500 0.500 0.500
Ir1 Ir 0.000 0.000 0.500
```

## Properties
polymorph energy (0 for the lowest one) = 0 meV/atom
formation energy (no corrections) = 0.5105 eV per atom

***

(4)
Hf2AgMoH: relaxed, PBE.

Cell and atoms, written as CIF:
```
data_Hf2AgMoH
_symmetry_space_group_name_H-M 'P 4/m m m'
_symmetry_Int_Tables_number 123
_symmetry_space_group_name_Hall '-P 4 2'
_cell_length_a 4.650
_cell_length_b 4.650
_cell_length_c 3.605
_cell_angle_alpha 90.00
_cell_angle_beta 90.00
_cell_angle_gamma 90.00
loop_
_atom_site_label
_atom_site_type_symbol
_atom_site_fract_x
_atom_site_fract_y
_atom_site_fract_z
Hf1 Hf 0.000 0.500 0.000
Ag1 Ag 0.000 0.000 0.500
Mo1 Mo 0.500 0.500 0.500
H1 H 0.500 0.500 0.000
```

## Properties
electronic total energy = -7.48 eV/atom

***

(5)
KNpAl2O6: relaxed, PBE.

Cell and atoms, written as CIF:
```
data_KNpAl2O6
_symmetry_space_group_name_H-M 'C 1 2/c 1'
_symmetry_Int_Tables_number 15
_symmetry_space_group_name_Hall '-C 2yc'
_cell_length_a 10.721
_cell_length_b 10.303
_cell_length_c 5.968
_cell_angle_alpha 90.00
_cell_angle_beta 108.21
_cell_angle_gamma 90.00
loop_
_atom_site_label
_atom_site_type_symbol
_atom_site_fract_x
_atom_site_fract_y
_atom_site_fract_z
K1 K 0.000 0.087 0.250
Np1 Np 0.000 0.291 0.750
Al1 Al 0.209 0.421 0.162
O1 O 0.086 0.295 0.097
O2 O 0.132 0.140 0.712
O3 O 0.170 0.464 0.852
```

## Properties
formation energy (no corrections) = -2.7160 eV per atom

***

(6)
ZrAgCl: relaxed, PBE.

Cell and atoms, written as CIF:
```
data_ZrAgCl
_symmetry_space_group_name_H-M 'F -4 3 m'
_symmetry_Int_Tables_number 216
_symmetry_space_group_name_Hall 'F -4 2 3'
_cell_length_a 6.311
_cell_length_b 6.311
_cell_length_c 6.311
_cell_angle_alpha 90.00
_cell_angle_beta 90.00
_cell_angle_gamma 90.00
loop_
_atom_site_label
_atom_site_type_symbol
_atom_site_fract_x
_atom_site_fract_y
_atom_site_fract_z
Zr1 Zr 0.000 0.000 0.000
Ag1 Ag 0.000 0.000 0.500
Cl1 Cl 0.250 0.250 0.250
```

## Properties
polymorph energy (0 for the lowest one) = 796 meV/atom
formation energy (no corrections) = 0.1787 eV per atom

***

(7)
SbPSeBr2: relaxed, PBE.

Cell and atoms, written as CIF:
```
data_SbPSeBr2
_symmetry_space_group_name_H-M 'P 4/m m m'
_symmetry_Int_Tables_number 123
_symmetry_space_group_name_Hall '-P 4 2'
_cell_length_a 5.542
_cell_length_b 5.542
_cell_length_c 5.519
_cell_angle_alpha 90.00
_cell_angle_beta 90.00
_cell_angle_gamma 90.00
loop_
_atom_site_label
_atom_site_type_symbol
_atom_site_fract_x
_atom_site_fract_y
_atom_site_fract_z
Sb1 Sb 0.000 0.000 0.000
P1 P 0.500 0.500 0.500
Se1 Se 0.000 0.000 0.500
Br1 Br 0.000 0.500 0.000
```

## Properties
polymorph energy (0 for the lowest one) = 228 meV/atom
formation energy (no corrections) = 0.5484 eV per atom

***

(8)
Mg2RuSe: relaxed, PBE.

Cell and atoms, written as CIF:
```
data_Mg2RuSe
_symmetry_space_group_name_H-M 'A m m 2'
_symmetry_Int_Tables_number 38
_symmetry_space_group_name_Hall 'A 2 -2'
_cell_length_a 3.276
_cell_length_b 4.116
_cell_length_c 11.089
_cell_angle_alpha 90.00
_cell_angle_beta 90.00
_cell_angle_gamma 90.00
loop_
_atom_site_label
_atom_site_type_symbol
_atom_site_fract_x
_atom_site_fract_y
_atom_site_fract_z
Mg1 Mg 0.000 0.000 0.000
Mg2 Mg 0.500 0.000 0.323
Ru1 Ru 0.000 0.000 0.755
Se1 Se 0.500 0.000 0.592
```

## Properties
formation energy (no corrections) = -0.3234 eV per atom

***

(9)
V2CoP: relaxed, PBE.

Cell and atoms, written as CIF:
```
data_V2CoP
_symmetry_space_group_name_H-M 'I -4 2 d'
_symmetry_Int_Tables_number 122
_symmetry_space_group_name_Hall 'I -4 2bw'
_cell_length_a 6.410
_cell_length_b 6.410
_cell_length_c 5.007
_cell_angle_alpha 90.00
_cell_angle_beta 90.00
_cell_angle_gamma 90.00
loop_
_atom_site_label
_atom_site_type_symbol
_atom_site_fract_x
_atom_site_fract_y
_atom_site_fract_z
V1 V 0.248 0.250 0.125
Co1 Co 0.000 0.000 0.000
P1 P 0.000 0.000 0.500
```

## Properties
calculated formation energy = -59 meV per atom

***

(10)
Li2BeSb: relaxed, PBE.

Cell and atoms, written as CIF:
```
data_Li2BeSb
_symmetry_space_group_name_H-M 'I 4/m m m'
_symmetry_Int_Tables_number 139
_symmetry_space_group_name_Hall '-I 4 2'
_cell_length_a 3.857
_cell_length_b 3.857
_cell_length_c 8.422
_cell_angle_alpha 90.00
_cell_angle_beta 90.00
_cell_angle_gamma 90.00
loop_
_atom_site_label
_atom_site_type_symbol
_atom_site_fract_x
_atom_site_fract_y
_atom_site_fract_z
Li1 Li 0.000 0.500 0.250
Be1 Be 0.000 0.000 0.000
Sb1 Sb 0.000 0.000 0.500
```

## Properties
polymorph energy (0 for the lowest one) = 21 meV/atom
formation energy (no corrections) = -0.1102 eV per atom

***

(11)
CaInMo2: relaxed, PBE.

Cell and atoms, written as CIF:
```
data_CaInMo2
_symmetry_space_group_name_H-M 'C 1 2/m 1'
_symmetry_Int_Tables_number 12
_symmetry_space_group_name_Hall '-C 2y'
_cell_length_a 5.816
_cell_length_b 9.919
_cell_length_c 2.817
_cell_angle_alpha 90.00
_cell_angle_beta 107.32
_cell_angle_gamma 90.00
loop_
_atom_site_label
_atom_site_type_symbol
_atom_site_fract_x
_atom_site_fract_y
_atom_site_fract_z
Ca1 Ca 0.000 0.000 0.000
In1 In 0.000 0.500 0.000
Mo1 Mo 0.250 0.250 0.500
```

## Properties
calculated formation energy = 598 meV per atom

***

(12)
La3Tb5Ho2: relaxed, PBE.

Cell and atoms, written as CIF:
```
data_La3Tb5Ho2
_symmetry_space_group_name_H-M 'C 1 2/c 1'
_symmetry_Int_Tables_number 15
_symmetry_space_group_name_Hall '-C 2yc'
_cell_length_a 10.812
_cell_length_b 16.266
_cell_length_c 9.418
_cell_angle_alpha 90.00
_cell_angle_beta 124.83
_cell_angle_gamma 90.00
loop_
_atom_site_label
_atom_site_type_symbol
_atom_site_fract_x
_atom_site_fract_y
_atom_site_fract_z
La1 La 0.000 0.234 0.250
La2 La 0.142 0.127 0.045
Tb1 Tb 0.000 0.025 0.250
Tb2 Tb 0.000 0.274 0.750
Tb3 Tb 0.000 0.470 0.750
Tb4 Tb 0.234 0.388 0.223
Ho1 Ho 0.152 0.384 0.544
```

## Properties
calculated formation energy = 188 meV per atom

***

M_tot: 0.000; 0.000; 0.000; 0.000; 0.200; 0.000; 0.426; 0.000; 0.000; 0.000; 0.000; 0.000 (μB/atom)